Record 1
Density functional theory data (PBE) for a relaxed LaGa3NiPt crystal.

Geometry as POSCAR:
```
LaGa3NiPt
1.0
-4.202 -4.478 0.429
4.527 -4.115 1.386
-2.949 3.256 5.106
Ni Ga Pt La
2 6 2 2
Direct
0.750 0.038 0.076
0.250 0.962 0.924
0.500 0.714 0.000
0.500 0.286 0.000
0.000 0.286 0.000
0.250 0.156 0.312
0.000 0.714 0.000
0.750 0.844 0.688
0.750 0.638 0.277
0.250 0.362 0.723
0.750 0.262 0.524
0.250 0.738 0.476
```

Results
Energy relative to the elements   -0.565 eV per atom

---

Record 2
Density functional theory data (PBE) for a relaxed Ca2AgPb2 crystal.

Geometry as POSCAR:
```
Ca2AgPb2
1.0
-4.912 3.651 4.815
-5.947 -4.024 -3.015
0.668 -3.468 3.311
Ca Ag Pb
4 2 4
Direct
0.336 0.164 0.500
0.836 0.336 0.500
0.164 0.664 0.500
0.664 0.836 0.500
0.000 0.000 0.000
0.500 0.500 0.000
0.143 0.357 0.000
0.357 0.857 0.000
0.643 0.143 0.000
0.857 0.643 0.000
```

Results
Distance to the lowest polymorph of the same formula   54 meV/atom
Energy relative to the elements   -0.367 eV per atom

---

Record 3
Density functional theory data (PBE) for a relaxed NaLa2BiH crystal.

Geometry as POSCAR:
```
NaLa2BiH
1.0
5.070 0.000 0.000
0.000 5.070 0.000
0.000 0.000 4.897
La H Na Bi
2 1 1 1
Direct
0.500 0.000 0.000
0.000 0.500 0.000
0.000 0.000 0.000
0.000 0.000 0.500
0.500 0.500 0.500
```

Results
Total energy   -4.17 eV per atom

---

Record 4
Density functional theory data (PBE) for a relaxed NiHg2Mo crystal.

Geometry as POSCAR:
```
NiHg2Mo
1.0
-1.648 -8.707 2.375
-1.193 -9.080 -0.552
1.129 -9.008 1.322
Mo Hg Ni
1 2 1
Direct
0.250 0.250 0.250
0.494 0.494 0.494
0.006 0.006 0.006
0.750 0.750 0.750
```

Results
Distance to the lowest polymorph of the same formula   262 meV/atom
Energy relative to the elements   0.542 eV per atom